1.
First-principles (PBE-GGA) data for LaThCuSn after structural relaxation, as listed in Alexandria.

Cell lengths 7.573, 7.573, 7.573 Å; angles 90.00, 90.00, 90.00 degrees
Sites, in units of the cell vectors:
La1 0.000 0.000 0.000
La2 0.000 0.500 0.500
La3 0.500 0.000 0.500
La4 0.500 0.500 0.000
Th1 0.000 0.000 0.500
Th2 0.000 0.500 0.000
Th3 0.500 0.000 0.000
Th4 0.500 0.500 0.500
Cu1 0.250 0.250 0.250
Cu2 0.250 0.750 0.750
Cu3 0.750 0.250 0.750
Cu4 0.750 0.750 0.250
Sn1 0.250 0.250 0.750
Sn2 0.250 0.750 0.250
Sn3 0.750 0.250 0.250
Sn4 0.750 0.750 0.750

Computed properties:
* DOS at the Fermi energy: 14.587 states/eV per cell
* calculated formation energy: -294 meV/atom
* space-group type: F-43m, No. 216
* total moment: 0.000 Bohr magnetons per cell


2.
First-principles (PBE-GGA) data for Be16Nb2Ni after structural relaxation, as listed in Alexandria.

Cell lengths 5.589, 5.589, 5.589 Å; angles 82.96, 82.96, 82.96 degrees
Sites, in units of the cell vectors:
Be1 0.000 0.292 0.709
Be2 0.000 0.709 0.292
Be3 0.002 0.002 0.502
Be4 0.002 0.502 0.002
Be5 0.104 0.104 0.104
Be6 0.161 0.656 0.656
Be7 0.292 0.000 0.709
Be8 0.292 0.709 0.000
Be9 0.348 0.348 0.841
Be10 0.348 0.841 0.348
Be11 0.502 0.002 0.002
Be12 0.656 0.161 0.656
Be13 0.656 0.656 0.161
Be14 0.709 0.000 0.292
Be15 0.709 0.292 0.000
Be16 0.841 0.348 0.348
Nb1 0.340 0.340 0.340
Nb2 0.661 0.661 0.661
Ni1 0.906 0.906 0.906

Computed properties:
* DOS at the Fermi energy: 4.202 states/eV per cell
* calculated formation energy: -262 meV/atom
* space-group type: R3m, No. 160
* total moment: 0.000 Bohr magnetons per cell


3.
First-principles (PBE-GGA) data for CoSnI2 after structural relaxation, as listed in Alexandria.

Cell lengths 7.312, 7.312, 9.858 Å; angles 90.00, 90.00, 90.00 degrees
Sites, in units of the cell vectors:
Co1 0.000 0.000 0.000
Co2 0.000 0.500 0.250
Co3 0.500 0.000 0.750
Co4 0.500 0.500 0.500
Sn1 0.000 0.000 0.500
Sn2 0.000 0.500 0.750
Sn3 0.500 0.000 0.250
Sn4 0.500 0.500 0.000
I1 0.171 0.250 0.125
I2 0.250 0.671 0.375
I3 0.250 0.829 0.875
I4 0.329 0.250 0.625
I5 0.671 0.750 0.625
I6 0.750 0.171 0.875
I7 0.750 0.329 0.375
I8 0.829 0.750 0.125

Computed properties:
* E above lowest polymorph: 182 meV per atom
* DOS at the Fermi energy: 10.368 states/eV per cell
* E_form (uncorrected): 1.329 eV per formula unit
* space-group type: I-42d, No. 122
* total moment: 4.041 Bohr magnetons per cell


4.
First-principles (PBE-GGA) data for CsZrCl3 after structural relaxation, as listed in Alexandria.

Cell lengths 6.111, 6.111, 6.111 Å; angles 90.00, 90.00, 90.00 degrees
Sites, in units of the cell vectors:
Cs1 0.000 0.000 0.000
Zr1 0.500 0.500 0.500
Cl1 0.000 0.000 0.500
Cl2 0.000 0.500 0.000
Cl3 0.500 0.000 0.000

Computed properties:
* E above lowest polymorph: 1645 meV per atom
* DOS at the Fermi energy: 23.837 states/eV per cell
* E_form (uncorrected): 0.582 eV per formula unit
* space-group type: Pm-3m, No. 221
* total moment: 2.000 Bohr magnetons per cell